[1]
This record from Alexandria describes a relaxed MnCd2Cu crystal. The functional is PBEsol.

Values from the calculation:
Relative energy among the computed polymorphs = 0.0000 eV per atom
Crystal system = cubic
Total energy = -3.891 eV/atom
E_form = 0.231 eV per atom

abc: 4.492 4.492 4.492
angles: 60.00 60.00 60.00
Site moments in Bohr magnetons follow the coordinates.
Element x y z (fractional)
Cu 0.000 0.000 0.000  0.01
Cd 0.250 0.250 0.250  -0.03
Cd 0.750 0.750 0.750  -0.03
Mn 0.500 0.500 0.500  3.60


[2]
This record from Alexandria describes a relaxed Mn2CdCuOs crystal. The functional is PBEsol.

Values from the calculation:
Crystal system = tetragonal
Total energy = -5.161 eV/atom
E_form = 2.293 eV per atom

abc: 4.745 4.745 4.874
angles: 90.00 90.00 90.00
Site moments in Bohr magnetons follow the coordinates.
Element x y z (fractional)
Cd 0.000 0.000 0.000  0.03
Cu 0.500 0.500 0.500  0.04
Mn 0.500 0.000 0.000  4.05
Mn 0.000 0.500 0.000  4.05
Os 0.000 0.000 0.500  -0.46


[3]
This record from Alexandria describes a relaxed MnCdCu4Sn2Se8 crystal. The functional is PBEsol.

Values from the calculation:
Crystal system = monoclinic
Total energy = -4.520 eV/atom

abc: 5.747 6.980 10.716
angles: 77.89 74.45 65.69
Site moments in Bohr magnetons follow the coordinates.
Element x y z (fractional)
Mn 0.001 0.000 0.000  4.08
Se 0.896 0.676 0.053  0.02
Se 0.395 0.416 0.300  0.01
Se 0.888 0.157 0.556  0.02
Se 0.110 0.584 0.700  0.01
Se 0.106 0.087 0.187  0.02
Se 0.600 0.843 0.444  0.02
Se 0.379 0.913 0.813  0.02
Se 0.625 0.324 0.947  0.02
Cu 0.754 0.126 0.371  0.02
Cu 0.251 0.874 0.629  0.02
Cu 0.251 0.375 0.121  0.04
Cu 0.747 0.625 0.879  0.04
Cd 0.999 0.500 0.500  0.00
Sn 0.500 0.246 0.753  0.03
Sn 0.499 0.754 0.247  0.03


[4]
This record from Alexandria describes a relaxed CdCuMo2 crystal. The functional is PBEsol.

Values from the calculation:
Crystal system = tetragonal
Total energy = -6.924 eV/atom
E_form = 0.343 eV per atom

abc: 3.704 3.704 5.127
angles: 111.17 111.17 90.00
Element x y z (fractional)
Cd 0.500 0.500 0.000
Cu 0.000 0.000 0.000
Mo 0.750 0.250 0.500
Mo 0.250 0.750 0.500


[5]
This record from Alexandria describes a relaxed CdCuMo2 crystal. The functional is PBEsol.

Values from the calculation:
Crystal system = trigonal
Total energy = -6.900 eV/atom
E_form = 0.367 eV per atom

abc: 2.749 2.749 9.568
angles: 81.74 81.74 60.00
Element x y z (fractional)
Cd 0.505 0.505 0.486
Mo 0.747 0.747 0.759
Mo 0.996 0.996 0.013
Cu 0.252 0.252 0.243


[6]
This record from Alexandria describes a relaxed Cd2CuMo crystal. The functional is PBEsol.

Values from the calculation:
Relative energy among the computed polymorphs = 0.1856 eV per atom
Crystal system = cubic
Total energy = -4.039 eV/atom
E_form = 0.585 eV per atom

abc: 4.556 4.556 4.556
angles: 60.00 60.00 60.00
Site moments in Bohr magnetons follow the coordinates.
Element x y z (fractional)
Mo 0.500 0.500 0.500  1.93
Cu 0.000 0.000 0.000  0.02
Cd 0.750 0.750 0.750  0.02
Cd 0.250 0.250 0.250  0.02